LaRe2Os | PBE-GGA | optimized geometry

abc: 3.016 3.120 7.883
angles: 90.00 90.94 90.00
Fractional positions:
La (0.000, 0.000, 0.000)
Re (0.053, 0.000, 0.501)
Re (0.501, 0.500, 0.693)
Os (0.503, 0.500, 0.300)

symmetry: Pm, No. 6
formation enthalpy at 0 K: 0.342 eV/atom
density of states at the Fermi level: 4.96 states/eV per cell



LaReOs2 | PBE-GGA | optimized geometry

abc: 5.908 5.908 5.908
angles: 151.86 131.01 57.45
Fractional positions:
La (0.000, 0.000, 0.000)
Re (0.715, 0.215, 0.500)
Os (0.280, 0.780, 0.500)
Os (0.497, 0.497, 0.000)

symmetry: Imm2, No. 44
formation enthalpy at 0 K: 0.555 eV/atom
density of states at the Fermi level: 4.22 states/eV per cell



LaReOs | PBE-GGA | optimized geometry

abc: 7.807 7.576 2.876
angles: 83.78 74.73 21.48
Fractional positions:
La (0.000, 0.000, 0.000)
Re (0.683, 0.683, 0.317)
Os (0.323, 0.323, 0.677)

symmetry: Fmm2, No. 42
formation enthalpy at 0 K: 0.728 eV/atom
density of states at the Fermi level: 3.61 states/eV per cell



LaReSb2Os | PBE-GGA | optimized geometry

abc: 5.701 5.701 4.760
angles: 90.00 90.00 90.00
Fractional positions:
La (0.000, 0.000, 0.000)
Re (0.000, 0.000, 0.500)
Sb (0.000, 0.500, 0.000)
Sb (0.500, 0.000, 0.000)
Os (0.500, 0.500, 0.500)

symmetry: P4/mmm, No. 123
E_form (uncorrected): 2.73 eV/atom
density of states at the Fermi level: 7.54 states/eV per cell



LaReSi2Os | PBE-GGA | optimized geometry

abc: 5.908 5.908 5.908
angles: 138.14 138.14 60.69
Fractional positions:
La (0.000, 0.000, 0.000)
Re (0.750, 0.250, 0.500)
Si (0.369, 0.369, 0.000)
Si (0.631, 0.631, 0.000)
Os (0.250, 0.750, 0.500)

symmetry: I-4m2, No. 119
E_form (uncorrected): -0.55 eV/atom
density of states at the Fermi level: 4.10 states/eV per cell



SrLa2ReOs | PBE-GGA | optimized geometry

abc: 5.543 5.543 4.620
angles: 90.00 90.00 90.00
Fractional positions:
Sr (0.000, 0.000, 0.000)
La (0.000, 0.500, 0.000)
La (0.500, 0.000, 0.000)
Re (0.000, 0.000, 0.500)
Os (0.500, 0.500, 0.500)

symmetry: P4/mmm, No. 123
formation enthalpy at 0 K: 2.353 eV/atom
density of states at the Fermi level: 5.79 states/eV per cell



Uncorrected energy values (in eV/atom) by entry order: -9.921; -9.403; -8.808; -4.635; -8.444; -4.690.
V values (in Å³ per cell) by entry order: 74; 73; 55; 155; 91; 142.